Record 1
Material: Pr4Sm4Cd
Method: DFT, PBE
State: relaxed

ΔE_f (eV/atom): -0.019
DFT total energy (eV/atom): -4.342

```
data_Pr4Sm4Cd
_chemical_formula_sum 'Pr8 Sm8 Cd2'
_cell_length_a 10.8855
_cell_length_b 10.8855
_cell_length_c 5.0683
_cell_angle_alpha 90.00
_cell_angle_beta 90.00
_cell_angle_gamma 90.00
_symmetry_space_group_name_H-M 'I 4/m m m'
_symmetry_Int_Tables_number 139
_symmetry_space_group_name_Hall '-I 4 2'
loop_
_atom_site_label
_atom_site_type_symbol
_atom_site_fract_x
_atom_site_fract_y
_atom_site_fract_z
_atom_site_occupancy
Pr1 Pr 0.1636 0.1636 0.0000 1
Sm1 Sm 0.0000 0.3331 0.5000 1
Cd1 Cd 0.0000 0.0000 0.5000 1
```



Record 2
Material: ZnGeC2
Method: DFT, PBE
State: relaxed

ΔE_f (eV/atom): 2.080
ΔE to the lowest computed polymorph (eV per atom): 0.966
DFT total energy (eV/atom): -4.005

```
data_ZnGeC2
_chemical_formula_sum 'Zn4 Ge4 C8'
_cell_length_a 5.6183
_cell_length_b 5.6183
_cell_length_c 5.6183
_cell_angle_alpha 90.00
_cell_angle_beta 90.00
_cell_angle_gamma 90.00
_symmetry_space_group_name_H-M 'F m -3 m'
_symmetry_Int_Tables_number 225
_symmetry_space_group_name_Hall '-F 4 2 3'
loop_
_atom_site_label
_atom_site_type_symbol
_atom_site_fract_x
_atom_site_fract_y
_atom_site_fract_z
_atom_site_occupancy
Zn1 Zn 0.0000 0.0000 0.0000 1
Ge1 Ge 0.0000 0.0000 0.5000 1
C1 C 0.2500 0.2500 0.2500 1
```



Record 3
Material: Ac2NdCu3Ge4
Method: DFT, PBE
State: relaxed

ΔE_f (eV/atom): -0.502
DFT total energy (eV/atom): -4.876

```
data_Ac2NdCu3Ge4
_chemical_formula_sum 'Ac2 Nd1 Cu3 Ge4'
_cell_length_a 4.4765
_cell_length_b 4.4765
_cell_length_c 11.1199
_cell_angle_alpha 90.00
_cell_angle_beta 90.00
_cell_angle_gamma 90.00
_symmetry_space_group_name_H-M 'P -4 m 2'
_symmetry_Int_Tables_number 115
loop_
_symmetry_equiv_pos_as_xyz
'x,y,z'
'y,-x,-z'
'-x,-y,z'
'-y,x,-z'
'-x,y,z'
'-y,-x,-z'
'x,-y,z'
'y,x,-z'
loop_
_atom_site_label
_atom_site_type_symbol
_atom_site_fract_x
_atom_site_fract_y
_atom_site_fract_z
_atom_site_occupancy
Ac1 Ac 0.0000 0.5000 0.2238 1
Nd1 Nd 0.0000 0.0000 0.5000 1
Cu1 Cu 0.0000 0.5000 0.8907 1
Cu2 Cu 0.5000 0.5000 0.5000 1
Ge1 Ge 0.0000 0.0000 0.0000 1
Ge2 Ge 0.0000 0.5000 0.6651 1
Ge3 Ge 0.5000 0.5000 0.0000 1
```



Record 4
Material: Zn2PtWBr
Method: DFT, PBE
State: relaxed

DFT total energy (eV/atom): -3.370
ΔE_f (raw) (eV/atom): 1.2733

```
data_Zn2PtWBr
_chemical_formula_sum 'Zn2 Pt1 W1 Br1'
_cell_length_a 4.8120
_cell_length_b 4.8120
_cell_length_c 5.2650
_cell_angle_alpha 90.00
_cell_angle_beta 90.00
_cell_angle_gamma 90.00
_symmetry_space_group_name_H-M 'P 4/m m m'
_symmetry_Int_Tables_number 123
_symmetry_space_group_name_Hall '-P 4 2'
loop_
_atom_site_label
_atom_site_type_symbol
_atom_site_fract_x
_atom_site_fract_y
_atom_site_fract_z
_atom_site_occupancy
Zn1 Zn 0.0000 0.5000 0.0000 1
Pt1 Pt 0.0000 0.0000 0.0000 1
W1 W 0.5000 0.5000 0.5000 1
Br1 Br 0.0000 0.0000 0.5000 1
```